## DyHo3Lu2Sb2Os (PBE-GGA)

Data for an optimized crystal structure of DyHo3Lu2Sb2Os.

Lattice parameters (Å, degrees): 4.179 14.040 8.146 90.00 90.00 90.00
Space group Amm2 (No. 38)
Symmetry-distinct sites (fractional):
Dy 0.000 0.000 0.000
Ho 0.500 0.000 0.633
Ho 0.500 0.119 0.273
Lu 0.000 0.194 0.585
Sb 0.500 0.168 0.891
Os 0.000 0.000 0.399

Values from the calculation:
* E_tot: -5.85 eV per atom
* M_tot: 0.00 μB per atom
* mass density: 10.012 g/cm³

---

## Gd2Er2In (PBE-GGA)

Data for an optimized crystal structure of Gd2Er2In.

Lattice parameters (Å, degrees): 8.120 8.120 4.625 90.00 90.00 90.00
Space group P4/mbm (No. 127)
Symmetry-distinct sites (fractional):
Gd 0.153 0.347 0.000
Er 0.148 0.648 0.500
In 0.000 0.000 0.500

Values from the calculation:
* E_tot: -4.25 eV per atom
* M_tot: 0.00 μB per atom
* mass density: 8.318 g/cm³